# 1
BaTlCo2 PBE relaxed; crystal system = tetragonal; density = 8.2 g cm⁻³; raw total energy = -4.05 eV/atom; energy of formation from the pure elements = 0.57 eV per atom; D(E_F) = 4.6 states/eV per cell
1.0
3.650 0.018 0.000
-0.018 3.650 0.000
0.000 0.000 6.997
Ba Co Tl
1 2 1
Direct
0.500 0.500 0.750
0.000 0.000 0.410
0.000 0.000 0.090
0.500 0.500 0.250

# 2
BaTlCo2 PBE relaxed; crystal system = monoclinic; density = 7.0 g cm⁻³; raw total energy = -4.13 eV/atom; energy of formation from the pure elements = 0.50 eV per atom; D(E_F) = 5.7 states/eV per cell
1.0
-2.384 -3.973 -0.122
2.896 -1.658 -2.580
3.048 -1.961 4.290
Ba Co Tl
1 2 1
Direct
0.500 0.750 0.750
0.000 0.995 0.174
0.000 0.505 0.326
0.500 0.250 0.250

# 3
BaTlCo2 PBE relaxed; crystal system = trigonal; density = 7.9 g cm⁻³; raw total energy = -4.45 eV/atom; energy of formation from the pure elements = 0.18 eV per atom; D(E_F) = 3.5 states/eV per cell
1.0
4.148 0.000 -0.008
2.076 3.591 -0.008
2.084 1.203 6.511
Ba Co Tl
1 2 1
Direct
0.733 0.733 0.800
0.948 0.948 0.155
0.279 0.279 0.164
0.540 0.540 0.381

# 4
BaTlCo2 PBE relaxed; crystal system = monoclinic; density = 7.9 g cm⁻³; raw total energy = -4.28 eV/atom; energy of formation from the pure elements = 0.34 eV per atom; D(E_F) = 5.6 states/eV per cell
1.0
3.976 0.000 0.000
0.000 4.275 0.021
0.000 2.121 5.698
Co Ba Tl
2 1 1
Direct
0.500 0.063 0.248
0.000 0.151 0.073
0.500 0.785 0.805
0.000 0.500 0.374

# 5
BaTlCo PBE relaxed; crystal system = hexagonal; density = 7.4 g cm⁻³; raw total energy = -3.58 eV/atom; energy of formation from the pure elements = 0.22 eV per atom; D(E_F) = 5.2 states/eV per cell
1.0
-0.010 -3.420 -3.101
3.778 0.814 2.526
-1.610 -3.076 3.398
Co Ba Tl
1 1 1
Direct
0.667 0.333 0.500
0.000 0.000 0.000
0.333 0.667 0.500

# 6
BaTlCo2 PBE relaxed; crystal system = tetragonal; density = 7.0 g cm⁻³; raw total energy = -4.15 eV/atom; energy of formation from the pure elements = 0.47 eV per atom; D(E_F) = 11.3 states/eV per cell
1.0
-1.735 1.748 -4.206
-4.550 -0.861 1.520
-3.514 8.825 2.294
Co Tl Ba
4 2 2
Direct
0.875 0.125 0.250
0.875 0.625 0.250
0.375 0.125 0.750
0.875 0.125 0.750
0.750 0.250 0.500
0.000 0.000 0.000
0.250 0.750 0.500
0.500 0.500 0.000

# 7
BaTl4Co PBE relaxed; crystal system = cubic; density = 9.1 g cm⁻³; raw total energy = -2.71 eV/atom; energy of formation from the pure elements = 0.37 eV per atom; D(E_F) = 6.5 states/eV per cell
1.0
0.000 4.527 4.527
4.527 0.000 4.527
4.527 4.527 0.000
Ba Co Tl
1 1 4
Direct
0.750 0.750 0.750
0.000 0.000 0.000
0.374 0.374 0.374
0.374 0.878 0.374
0.374 0.374 0.878
0.878 0.374 0.374

# 8
BaTlCo3 PBE relaxed; crystal system = cubic; density = 7.2 g cm⁻³; energy above the lowest structure with this stoichiometry = 925 meV per atom; raw total energy = -3.12 eV/atom; energy of formation from the pure elements = 2.00 eV per atom; D(E_F) = 8.5 states/eV per cell
1.0
4.938 0.000 0.000
0.000 4.938 0.000
0.000 0.000 4.938
Co Ba Tl
3 1 1
Direct
0.000 0.000 0.500
0.500 0.000 0.000
0.000 0.500 0.000
0.000 0.000 0.000
0.500 0.500 0.500